Entry 1:
Computed, not measured: an optimized crystal structure of Be2ReSi at the PBE-GGA level of DFT.

Geometry as POSCAR:
```
Be2ReSi
1.0
3.085 0.000 0.000
0.000 3.085 0.000
0.000 0.000 4.811
Be Si Re
2 1 1
direct
0.500 0.500 0.237
0.000 0.000 0.009
0.500 0.500 0.753
0.000 0.000 0.501
```

magnetization	0.00	μB/atom
SG	P4mm, No. 99

---

Entry 2:
Computed, not measured: an optimized crystal structure of Be2ReSi at the PBE-GGA level of DFT.

Geometry as POSCAR:
```
Be2ReSi
1.0
-2.502 -1.665 0.719
1.331 -2.518 -1.199
1.909 -1.025 4.269
Be Re Si
2 1 1
direct
0.000 0.000 0.484
0.000 0.000 0.016
0.500 0.500 0.250
0.500 0.500 0.750
```

magnetization	0.00	μB/atom
SG	P4/mmm, No. 123

---

Calculated DOS(E_F) in order - 2.100; 1.082 states/eV/f.u.
Calculated E_form (uncorrected) in order - -91; -69 meV/atom